Entry 1:
{
  "formula": "ScPOsCl2",
  "functional": "PBEsol",
  "state": "optimized geometry",
  "dft_energy_ev_per_atom": -5.1772,
  "spacegroup": "P4/mmm",
  "total_magnetization_mub_per_atom": 0.718,
  "lattice": [[4.6091, 0.0000, 0.0000], [0.0000, 4.6091, 0.0000], [0.0000, 0.0000, 5.3880]],
  "species": ["Sc", "P", "Os", "Cl", "Cl"],
  "fractional_positions": [[0.0000, 0.0000, 0.0000], [0.0000, 0.0000, 0.5000], [0.5000, 0.5000, 0.5000], [0.0000, 0.5000, 0.0000], [0.5000, 0.0000, 0.0000]]
}


Entry 2:
{
  "formula": "SnPOsCl2",
  "functional": "PBEsol",
  "state": "optimized geometry",
  "dft_energy_ev_per_atom": -3.8350,
  "spacegroup": "P4/mmm",
  "total_magnetization_mub_per_atom": 0.767,
  "lattice": [[4.9169, 0.0000, 0.0000], [0.0000, 4.9169, 0.0000], [0.0000, 0.0000, 5.2071]],
  "species": ["Sn", "P", "Os", "Cl", "Cl"],
  "fractional_positions": [[0.0000, 0.0000, 0.0000], [0.0000, 0.0000, 0.5000], [0.5000, 0.5000, 0.5000], [0.0000, 0.5000, 0.0000], [0.5000, 0.0000, 0.0000]]
}


Entry 3:
{
  "formula": "SrP2OsCl",
  "functional": "PBEsol",
  "state": "optimized geometry",
  "dft_energy_ev_per_atom": -3.1938,
  "spacegroup": "P4/mmm",
  "total_magnetization_mub_per_atom": 0.434,
  "lattice": [[5.3687, 0.0000, 0.0000], [0.0000, 5.3687, 0.0000], [0.0000, 0.0000, 5.5286]],
  "species": ["Sr", "P", "P", "Os", "Cl"],
  "fractional_positions": [[0.0000, 0.0000, 0.0000], [0.0000, 0.5000, 0.0000], [0.5000, 0.0000, 0.0000], [0.0000, 0.0000, 0.5000], [0.5000, 0.5000, 0.5000]]
}


Entry 4:
{
  "formula": "TeP2OsCl",
  "functional": "PBEsol",
  "state": "optimized geometry",
  "dft_energy_ev_per_atom": -3.8135,
  "spacegroup": "P4/mmm",
  "total_magnetization_mub_per_atom": 0.662,
  "lattice": [[5.0174, 0.0000, 0.0000], [0.0000, 5.0174, 0.0000], [0.0000, 0.0000, 4.8439]],
  "species": ["Te", "P", "P", "Os", "Cl"],
  "fractional_positions": [[0.0000, 0.0000, 0.0000], [0.0000, 0.5000, 0.0000], [0.5000, 0.0000, 0.0000], [0.5000, 0.5000, 0.5000], [0.0000, 0.0000, 0.5000]]
}


Entry 5:
{
  "formula": "OsPb2Cl",
  "functional": "PBEsol",
  "state": "optimized geometry",
  "dft_energy_ev_per_atom": -4.8880,
  "spacegroup": "P4mm",
  "total_magnetization_mub_per_atom": 0.001,
  "lattice": [[3.1546, 0.0000, 0.0000], [0.0000, 3.1546, 0.0000], [0.0000, 0.0000, 8.7950]],
  "species": ["Os", "Pb", "Pb", "Cl"],
  "fractional_positions": [[0.0000, 0.0000, 0.0000], [0.0000, 0.0000, 0.5357], [0.5000, 0.5000, 0.2052], [0.5000, 0.5000, 0.8221]]
}


Entry 6:
{
  "formula": "Os2PbCl",
  "functional": "PBEsol",
  "state": "optimized geometry",
  "dft_energy_ev_per_atom": -6.1918,
  "spacegroup": "P4/mmm",
  "total_magnetization_mub_per_atom": 0.000,
  "lattice": [[3.1627, 0.0000, 0.0000], [0.0000, 3.1627, 0.0000], [0.0000, 0.0000, 6.4728]],
  "species": ["Os", "Os", "Pb", "Cl"],
  "fractional_positions": [[0.0000, 0.0000, 0.2196], [0.0000, 0.0000, 0.7804], [0.5000, 0.5000, 0.5000], [0.5000, 0.5000, 0.0000]]
}